Record 1
# SrLaPI (PBE, optimized geometry)
data_SrLaPI
_cell_length_a 4.3561
_cell_length_b 4.3561
_cell_length_c 24.1135
_cell_angle_alpha 90.00
_cell_angle_beta 90.00
_cell_angle_gamma 120.00
_space_group_name_H-M_alt 'R 3 m'
_space_group_IT_number 160
_space_group_name_Hall 'R 3 -2"'
loop_
_atom_site_label
_atom_site_fract_x
_atom_site_fract_y
_atom_site_fract_z
Sr1 0.0000 0.0000 0.0000
La1 0.0000 0.0000 0.7964
P1 0.0000 0.0000 0.4021
I1 0.0000 0.0000 0.2282
# VASP energy ... -57.24 eV per cell
# Volume ... 396 Å³/cell
# Uncorrected formation energy ... -1378 meV per atom

Record 2
# La2TbP2I2 (PBE, optimized geometry)
data_La2TbP2I2
_cell_length_a 5.287
_cell_length_b 5.287
_cell_length_c 16.758
_cell_angle_alpha 90.00
_cell_angle_beta 90.00
_cell_angle_gamma 90.00
_space_group_name_H-M_alt 'I 4/m m m'
_space_group_IT_number 139
_space_group_name_Hall '-I 4 2'
loop_
_atom_site_label
_atom_site_fract_x
_atom_site_fract_y
_atom_site_fract_z
La1 0.000 0.000 0.098
Tb1 0.000 0.000 0.500
P1 0.000 0.500 0.000
I1 0.000 0.000 0.310
# VASP energy ... -74.68 eV per cell
# Volume ... 468 Å³/cell
# Uncorrected formation energy ... -1277 meV per atom